## AlH3Ru (GGA-PBE)

Data for a relaxed structure of AlH3Ru.

Properties
Energy   -22.33 eV/cell

a = 3.4427 Å, b = 3.4427 Å, c = 3.4427 Å
α = 90.00°, β = 90.00°, γ = 90.00°
Closest atoms and distances in Å follow each position.
Fractional coordinates of all 5 atoms:
Al (0.0000, 0.0000, 0.0000)  12 H 2.43
H (0.0000, 0.5000, 0.5000)  2 Ru 1.72
H (0.5000, 0.0000, 0.5000)  2 Ru 1.72
H (0.5000, 0.5000, 0.0000)  2 Ru 1.72
Ru (0.5000, 0.5000, 0.5000)  6 H 1.72